(1)
# Cs2PH3

Cs2PH3 after structural relaxation (PBE-GGA, the Alexandria database).

abc: 6.314 6.314 9.795
angles: 111.33 111.33 82.61
Sites, in units of the cell vectors:
H: 0.551 0.303 0.854
H: 0.697 0.449 0.146
H: 0.139 0.139 0.278
H: 0.303 0.551 0.854
H: 0.861 0.861 0.722
H: 0.449 0.697 0.146
P: 0.631 0.631 0.263
P: 0.369 0.369 0.737
Cs: 0.750 0.250 0.500
Cs: 0.803 0.803 0.000
Cs: 0.250 0.750 0.500
Cs: 0.197 0.197 0.000

Results
Size of the total moment in μB/cell: 0.0
Distance to the lowest polymorph of the same formula in meV per atom: 24
Space-group type: No. 69


(2)
# Cs3PH6

Cs3PH6 after structural relaxation (PBE-GGA, the Alexandria database).

abc: 8.482 8.023 8.023
angles: 67.75 90.00 90.00
Sites, in units of the cell vectors:
H: 0.437 0.878 0.122
H: 0.621 0.219 0.412
H: 0.598 0.838 0.330
H: 0.098 0.330 0.838
H: 0.098 0.162 0.670
H: 0.598 0.670 0.162
H: 0.121 0.781 0.588
H: 0.807 0.774 0.226
H: 0.621 0.588 0.781
H: 0.121 0.412 0.219
H: 0.937 0.122 0.878
H: 0.307 0.226 0.774
P: 0.625 0.851 0.149
P: 0.125 0.149 0.851
Cs: 0.433 0.926 0.704
Cs: 0.933 0.074 0.296
Cs: 0.811 0.447 0.553
Cs: 0.433 0.296 0.074
Cs: 0.311 0.553 0.447
Cs: 0.933 0.704 0.926

Results
Electronic total energy in eV/atom: -2.8972
Size of the total moment in μB/cell: 0.0
Space-group type: No. 36


(3)
# Cs6PH

Cs6PH after structural relaxation (PBE-GGA, the Alexandria database).

abc: 8.638 9.039 9.039
angles: 60.13 90.22 89.78
Sites, in units of the cell vectors:
Cs: 0.757 0.021 0.740
Cs: 0.243 0.021 0.301
Cs: 0.240 0.301 0.741
Cs: 0.757 0.301 0.021
Cs: 0.760 0.741 0.301
Cs: 0.243 0.740 0.021
H: 0.000 0.021 0.021
P: 0.500 0.021 0.021

Results
Electronic total energy in eV/atom: -1.8322
Size of the total moment in μB/cell: 0.0
Space-group type: No. 12


(4)
# CsPH3

CsPH3 after structural relaxation (PBE-GGA, the Alexandria database).

abc: 4.773 4.773 6.993
angles: 70.05 70.05 60.00
Sites, in units of the cell vectors:
H: 0.099 0.099 0.144
H: 0.099 0.657 0.144
H: 0.657 0.099 0.144
Cs: 0.109 0.109 0.673
P: 0.910 0.910 0.269

Results
Size of the total moment in μB/cell: 0.7
Distance to the lowest polymorph of the same formula in meV per atom: 0
Space-group type: No. 160


(5)
# CsP2H

CsP2H after structural relaxation (PBE-GGA, the Alexandria database).

abc: 5.101 5.101 5.101
angles: 60.00 60.00 60.00
Sites, in units of the cell vectors:
P: 0.250 0.250 0.250
P: 0.750 0.750 0.750
H: 0.000 0.000 0.000
Cs: 0.500 0.500 0.500

Results
Size of the total moment in μB/cell: 0.0
Distance to the lowest polymorph of the same formula in meV per atom: 1127
Space-group type: No. 225


(6)
# CsPH4

CsPH4 after structural relaxation (PBE-GGA, the Alexandria database).

abc: 5.028 5.028 7.170
angles: 90.00 90.00 90.00
Sites, in units of the cell vectors:
Cs: 0.000 0.000 0.500
Cs: 0.500 0.500 0.000
H: 0.241 0.000 0.124
H: 0.741 0.500 0.376
H: 0.500 0.741 0.624
H: 0.259 0.500 0.376
H: 0.000 0.241 0.876
H: 0.000 0.759 0.876
H: 0.759 0.000 0.124
H: 0.500 0.259 0.624
P: 0.500 0.500 0.500
P: 0.000 0.000 0.000

Results
Size of the total moment in μB/cell: 0.0
Distance to the lowest polymorph of the same formula in meV per atom: 529
Space-group type: No. 137


| no. | DOS at the Fermi energy (states/eV/atom) |
| --- | --- |
| 1 | 0.000 |
| 2 | 0.000 |
| 3 | 0.561 |
| 4 | 0.285 |
| 5 | 0.963 |
| 6 | 0.280 |